No. 1
DFT (GGA-PBE) results for a relaxed TbMgTe3 crystal.

POSCAR file:
```
TbMgTe3
1.0
6.604 0.000 0.000
0.000 4.508 0.000
-2.777 0.000 12.204
Tb Mg Te
2 2 6
direct
0.015 0.250 0.337
0.985 0.750 0.663
0.488 0.250 0.885
0.512 0.750 0.115
0.240 0.250 0.583
0.240 0.750 0.900
0.290 0.750 0.281
0.710 0.250 0.719
0.760 0.250 0.100
0.760 0.750 0.417
```

Values from the calculation:
The total energy comes out at -40.47 eV for the cell shown. The magnetization is 0.00 μB/cell. Its crystal system is monoclinic.


No. 2
DFT (GGA-PBE) results for a relaxed La2EuHg crystal.

POSCAR file:
```
La2EuHg
1.0
0.000 4.011 4.011
4.011 0.000 4.011
4.011 4.011 0.000
La Eu Hg
2 1 1
direct
0.250 0.250 0.250
0.750 0.750 0.750
0.000 0.000 0.000
0.500 0.500 0.500
```

Values from the calculation:
The formation energy is -121 meV per atom. The magnetization is 7.17 μB/cell. Its crystal system is cubic.


No. 3
DFT (GGA-PBE) results for a relaxed ZnBiTe2 crystal.

POSCAR file:
```
ZnBiTe2
1.0
-3.721 3.721 4.884
3.721 -3.721 4.884
3.721 3.721 -4.884
Zn Bi Te
2 2 4
direct
0.000 0.000 0.000
0.750 0.250 0.500
0.250 0.750 0.500
0.500 0.500 0.000
0.081 0.625 0.956
0.375 0.331 0.456
0.669 0.125 0.044
0.875 0.919 0.544
```

Values from the calculation:
The total energy comes out at -23.51 eV for the cell shown. The magnetization is 0.00 μB/cell. Its crystal system is tetragonal.


No. 4
DFT (GGA-PBE) results for a relaxed ErZrBeGa crystal.

POSCAR file:
```
ErZrBeGa
1.0
0.000 3.355 3.355
3.355 0.000 3.355
3.355 3.355 0.000
Er Zr Be Ga
1 1 1 1
direct
0.000 0.000 0.000
0.500 0.500 0.500
0.750 0.750 0.750
0.250 0.250 0.250
```

Values from the calculation:
The formation energy is -221 meV per atom. The magnetization is 0.00 μB/cell. Its crystal system is cubic.